[1]
The following is a DFT calculation (PBE) of a relaxed structure of YEr4Tm4.

Cell lengths 7.8421, 7.8421, 7.8421 Å; angles 95.72, 95.72, 143.20 degrees
Last column: nearest neighbours and their distance in Å.
Element x y z (fractional)
Y (0.0000, 0.0000, 0.0000)  8 Er 3.51, 4 Tm 3.52
Er (0.3325, 0.3325, 0.6650)  4 Er 3.49-3.53, 6 Tm 3.50-3.51, 2 Y 3.51
Er (0.3325, 0.6675, 0.0000)  4 Er 3.49-3.53, 6 Tm 3.50-3.51, 2 Y 3.51
Er (0.6675, 0.3325, 0.0000)  4 Er 3.49-3.53, 6 Tm 3.50-3.51, 2 Y 3.51
Er (0.6675, 0.6675, 0.3350)  4 Er 3.49-3.53, 6 Tm 3.50-3.51, 2 Y 3.51
Tm (0.0000, 0.3343, 0.3343)  5 Tm 3.49, 6 Er 3.50-3.51, 1 Y 3.52
Tm (0.0000, 0.6657, 0.6657)  5 Tm 3.49, 6 Er 3.50-3.51, 1 Y 3.52
Tm (0.3343, 0.0000, 0.3343)  5 Tm 3.49, 6 Er 3.50-3.51, 1 Y 3.52
Tm (0.6657, 0.0000, 0.6657)  5 Tm 3.49, 6 Er 3.50-3.51, 1 Y 3.52

Computed properties:
**Volume**: 30.46 Å³/atom
**Total energy**: -4.7071 eV per atom
**Formation energy**: 0.026 eV/atom

[2]
The following is a DFT calculation (PBE) of a relaxed structure of Ba2HoAg3Bi4.

Cell lengths 5.0399, 5.0399, 12.5282 Å; angles 90.00, 90.00, 90.00 degrees
Last column: nearest neighbours and their distance in Å.
Element x y z (fractional)
Ba (0.0000, 0.5000, 0.2277)  4 Ag 3.78, 8 Bi 3.81-3.92
Ba (0.5000, 0.0000, 0.7723)  4 Ag 3.78, 8 Bi 3.81-3.92
Ho (0.0000, 0.0000, 0.5000)  4 Bi 3.08
Ag (0.0000, 0.5000, 0.8721)  5 Bi 2.89-2.99
Ag (0.5000, 0.0000, 0.1279)  5 Bi 2.89-2.99
Ag (0.5000, 0.5000, 0.5000)  4 Bi 3.08
Bi (0.0000, 0.0000, 0.0000)  4 Ag 2.99
Bi (0.0000, 0.5000, 0.6412)  3 Ag 2.89-3.08, 2 Ho 3.08
Bi (0.5000, 0.0000, 0.3588)  3 Ag 2.89-3.08, 2 Ho 3.08
Bi (0.5000, 0.5000, 0.0000)  4 Ag 2.99

Computed properties:
**Volume**: 31.82 Å³/atom
**Total energy**: -3.7511 eV per atom
**Formation energy**: -0.501 eV/atom

[3]
The following is a DFT calculation (PBE) of a relaxed structure of ZnNi5.

Cell lengths 3.5617, 7.5310, 5.0245 Å; angles 90.00, 90.00, 90.00 degrees
Last column: nearest neighbours and their distance in Å.
Element x y z (fractional)
Zn (0.2500, 0.2500, 0.1237)  12 Ni 2.51-2.54
Zn (0.7500, 0.7500, 0.8763)  12 Ni 2.51-2.54
Ni (0.2500, 0.2500, 0.6229)  10 Ni 2.49-2.51, 2 Zn 2.51-2.52
Ni (0.2500, 0.5809, 0.6220)  10 Ni 2.47-2.56, 2 Zn 2.54
Ni (0.2500, 0.5827, 0.1306)  9 Ni 2.47-2.56, 3 Zn 2.51-2.53
Ni (0.2500, 0.9173, 0.1306)  9 Ni 2.47-2.56, 3 Zn 2.51-2.53
Ni (0.2500, 0.9191, 0.6220)  10 Ni 2.47-2.56, 2 Zn 2.54
Ni (0.7500, 0.0809, 0.3780)  10 Ni 2.47-2.56, 2 Zn 2.54
Ni (0.7500, 0.0827, 0.8694)  9 Ni 2.47-2.56, 3 Zn 2.51-2.53
Ni (0.7500, 0.4173, 0.8694)  9 Ni 2.47-2.56, 3 Zn 2.51-2.53
Ni (0.7500, 0.4191, 0.3780)  10 Ni 2.47-2.56, 2 Zn 2.54
Ni (0.7500, 0.7500, 0.3771)  10 Ni 2.49-2.51, 2 Zn 2.51-2.52

Computed properties:
**Volume**: 11.23 Å³/atom
**Total energy**: -5.0994 eV per atom
**Formation energy**: -0.069 eV/atom

[4]
The following is a DFT calculation (PBE) of a relaxed structure of Dy2Er5Mg.

Cell lengths 6.9659, 6.9537, 6.9716 Å; angles 60.03, 59.86, 60.11 degrees
Last column: nearest neighbours and their distance in Å.
Element x y z (fractional)
Dy (0.2495, 0.7505, 0.7505)  2 Mg 3.47-3.48, 10 Er 3.47-3.49
Dy (0.7505, 0.2495, 0.2495)  2 Mg 3.47-3.48, 10 Er 3.47-3.49
Er (0.2498, 0.2498, 0.2502)  6 Er 3.48-3.49, 4 Dy 3.48, 2 Mg 3.49
Er (0.2499, 0.7494, 0.2506)  6 Er 3.48, 2 Mg 3.48, 4 Dy 3.48-3.49
Er (0.7494, 0.2499, 0.7501)  6 Er 3.48, 2 Mg 3.48, 4 Dy 3.48-3.49
Er (0.7498, 0.7498, 0.2502)  4 Dy 3.47-3.48, 8 Er 3.48-3.49
Er (0.7498, 0.7498, 0.7502)  6 Er 3.48-3.49, 4 Dy 3.48, 2 Mg 3.49
Mg (0.2497, 0.2497, 0.7503)  4 Dy 3.47-3.48, 8 Er 3.48-3.49

Computed properties:
**Distance to the lowest polymorph of the same formula**: 0.0000 eV/atom
**Volume**: 29.85 Å³/atom
**Total energy**: -4.1780 eV per atom
**Formation energy**: 0.024 eV/atom